VCo2Te GGA-PBE relaxed; E_tot = -6.1815 eV/atom; symmetry = I-42d, No. 122; formation energy without anion corrections = 0.436 eV per atom
1.0
-0.0200 -1.9038 3.4767
3.2831 -1.9560 -1.0522
6.1218 3.8812 4.4201
Te Co V
2 4 2
Cartesian
0.0000 0.0000 0.0000
3.8667 0.0238 4.5545
1.9291 -0.3907 3.0125
3.5791 -0.5635 1.0159
5.9415 1.3881 4.1837
7.3202 -0.3911 5.4770
1.6316 -1.9299 1.2122
5.5183 -0.0024 2.2901

VCoTe6 GGA-PBE relaxed; E_tot = -4.4743 eV/atom; symmetry = P-1, No. 2; formation energy without anion corrections = -0.090 eV per atom
1.0
6.5806 0.1360 0.2658
3.3951 5.7043 0.3375
3.5266 2.1200 5.7793
V Co Te
1 1 6
Cartesian
6.7511 3.9802 3.1913
0.0000 0.0000 0.0000
4.3762 4.0786 4.3406
7.8183 2.1736 4.8517
5.6168 1.9084 1.8884
5.6839 5.7867 1.5309
9.1261 3.8817 2.0420
7.8854 6.0519 4.4942

no.,total magnetization (μB per formula unit)
1,0.18
2,1.01